Record 1
VASP calculation (PBE) on an optimized crystal structure of CuAs4.

Volume ... 103 Å³ per cell
Symmetry ... I4/mmm
Formation energy ... 33.5 kJ per mole of atoms

a = 5.268 Å, b = 5.268 Å, c = 5.268 Å
α = 120.25°, β = 120.25°, γ = 89.56°
Sites, in units of the cell vectors:
Cu: 0.000 0.000 0.000
As: 0.250 0.750 0.500
As: 0.319 0.319 0.000
As: 0.681 0.681 0.000
As: 0.750 0.250 0.500

=====

Record 2
VASP calculation (PBE) on an optimized crystal structure of PrSm4Bi5.

Volume ... 339 Å³ per cell
Symmetry ... I4/mmm
Formation energy ... -90.0 kJ per mole of atoms

a = 16.486 Å, b = 16.486 Å, c = 16.486 Å
α = 164.04°, β = 164.04°, γ = 22.64°
Sites, in units of the cell vectors:
Pr: 0.000 0.000 0.000
Sm: 0.200 0.200 0.000
Sm: 0.400 0.400 0.000
Sm: 0.600 0.600 0.000
Sm: 0.800 0.800 0.000
Bi: 0.101 0.101 0.000
Bi: 0.300 0.300 0.000
Bi: 0.500 0.500 0.000
Bi: 0.700 0.700 0.000
Bi: 0.899 0.899 0.000

=====

Record 3
VASP calculation (PBE) on an optimized crystal structure of Li8P2Se.

Volume ... 160 Å³ per cell
Symmetry ... Immm
E_form (uncorrected) ... -814 meV per atom

a = 7.336 Å, b = 7.336 Å, c = 7.336 Å
α = 146.72°, β = 131.66°, γ = 59.96°
Sites, in units of the cell vectors:
Li: 0.110 0.341 0.769
Li: 0.179 0.179 0.000
Li: 0.288 0.000 0.288
Li: 0.428 0.659 0.769
Li: 0.572 0.341 0.231
Li: 0.712 0.000 0.712
Li: 0.821 0.821 0.000
Li: 0.890 0.659 0.231
P: 0.323 0.823 0.500
P: 0.677 0.177 0.500
Se: 0.000 0.500 0.500

=====

Record 4
VASP calculation (PBE) on an optimized crystal structure of KRb2LiSb.

Volume ... 284 Å³ per cell
Symmetry ... P4/mmm
E_form (uncorrected) ... -186 meV per atom

a = 7.298 Å, b = 7.298 Å, c = 5.331 Å
α = 90.00°, β = 90.00°, γ = 90.00°
Sites, in units of the cell vectors:
K: 0.000 0.000 0.000
Rb: 0.000 0.500 0.500
Rb: 0.500 0.000 0.500
Li: 0.500 0.500 0.000
Sb: 0.500 0.500 0.500